This record from the Alexandria database describes an optimized crystal structure of BeCdTeN2. The functional is PBE.

Structure (POSCAR):
```
BeCdTeN2
1.0
3.8927 0.0000 0.0000
0.0000 3.8927 0.0000
0.0000 0.0000 5.6606
Be Cd Te N
1 1 1 2
direct
0.0000 0.0000 0.0000 Be
0.5000 0.5000 0.5000 Cd
0.0000 0.0000 0.5000 Te
0.0000 0.5000 0.0000 N
0.5000 0.0000 0.0000 N
```

Computed properties:
Space group: P4/mmm, No. 123
Formation energy from raw total energies: 1.267 eV per atom
Energy above the lowest structure with this stoichiometry: 0.000 eV per formula unit
Total moment: 3.39 μB/f.u.